ZnCu2Ag (GGA-PBEsol, optimized geometry); formation energy from the elements = 0.00 eV/atom
1.0
4.381 -1.370 0.000
4.381 1.370 0.000
-1.001 0.000 4.413
Zn Cu Ag
1 2 1
direct
0.000 0.000 0.000
0.255 0.255 0.762
0.514 0.514 0.529
0.758 0.758 0.267